(1)
VASP calculation (PBE-GGA) on a relaxed structure of PuTh3Sc3. Values from VASP.

## Properties
Calculated formation energy in eV per atom: 0.16
Total magnetization in μB/f.u.: 5.65

Cell and atoms, written as Quantum ESPRESSO input:
```
&SYSTEM
  ibrav = 0, nat = 14, ntyp = 3
/
ATOMIC_SPECIES
Pu 244.00 Pu.upf
Th 232.04 Th.upf
Sc 44.96 Sc.upf
ATOMIC_POSITIONS angstrom
Pu 0.0000 0.0000 6.5782
Pu 0.0000 0.0000 32.8992
Th -0.9710 -1.6804 17.1723
Th -1.9407 0.0007 22.3051
Th -0.9697 1.6811 17.1724
Th 0.9697 -1.6811 22.3050
Th 1.9407 -0.0007 17.1724
Th 0.9710 1.6804 22.3050
Sc -1.9897 -0.0009 14.4456
Sc -0.9940 -1.7236 25.0319
Sc 0.9957 -1.7226 14.4455
Sc -0.9957 1.7226 25.0319
Sc 0.9940 1.7236 14.4456
Sc 1.9897 0.0009 25.0319
CELL_PARAMETERS angstrom
2.9742 1.7172 13.1591
-2.9742 1.7172 13.1591
0.0000 -3.4344 13.1591
```

(2)
VASP calculation (PBE-GGA) on a relaxed structure of PuThSc4. Values from VASP.

## Properties
Calculated formation energy in eV per atom: 0.15
Relative energy among the computed polymorphs in meV/atom: 85
Total magnetization in μB/f.u.: 6.19

Cell and atoms, written as Quantum ESPRESSO input:
```
&SYSTEM
  ibrav = 0, nat = 12, ntyp = 3
/
ATOMIC_SPECIES
Pu 244.00 Pu.upf
Th 232.04 Th.upf
Sc 44.96 Sc.upf
ATOMIC_POSITIONS angstrom
Pu 0.0000 0.0000 0.0000
Pu 5.4085 1.6088 0.0000
Th -2.5364 1.6088 4.5213
Th 2.8721 0.0000 4.5213
Sc -0.0239 0.0000 3.1169
Sc -2.1375 0.0000 7.5209
Sc 2.4732 1.6088 1.5216
Sc 0.3596 1.6088 5.9257
Sc 5.3847 1.6088 3.1169
Sc 3.2711 1.6088 7.5209
Sc 7.8817 0.0000 1.5216
Sc 5.7681 0.0000 5.9257
CELL_PARAMETERS angstrom
10.8171 0.0000 0.0000
0.0000 3.2175 0.0000
-5.0728 0.0000 9.0425
```

total magnetization of number 2 (PuThSc4)? 6.19 μB/f.u.

Which value of total magnetization does entry 1 give? 5.65 μB/f.u.

Number 2 is which compound? PuThSc4